{
  "formula": "MgSi4Ni6",
  "functional": "GGA-PBE",
  "state": "optimized geometry",
  "cell": [[6.6619, 0.0000, 0.0000], [-3.3310, 5.7694, 0.0000], [0.0000, 0.0000, 3.5430]],
  "species": ["Mg", "Si", "Si", "Si", "Si", "Ni", "Ni", "Ni", "Ni", "Ni", "Ni"],
  "frac_coords": [[0.0000, 0.0000, 0.0000], [0.3333, 0.6667, 0.0000], [0.3810, 0.1905, 0.5000], [0.8095, 0.1905, 0.5000], [0.8095, 0.6190, 0.5000], [0.2016, 0.4031, 0.5000], [0.2016, 0.7984, 0.5000], [0.5349, 0.0698, 0.0000], [0.5349, 0.4651, 0.0000], [0.5969, 0.7984, 0.5000], [0.9302, 0.4651, 0.0000]],
  "dft_energy_ev_per_cell": -63.6,
  "magnetic_moment_mub_per_fu": 0.00,
  "raw_formation_energy_mev_per_atom": -509
}


{
  "formula": "RhSeN2O",
  "functional": "GGA-PBE",
  "state": "optimized geometry",
  "cell": [[3.8846, 0.0000, 0.0000], [0.0000, 3.8846, 0.0000], [0.0000, 0.0000, 3.6859]],
  "species": ["Rh", "Se", "N", "N", "O"],
  "frac_coords": [[0.0000, 0.0000, 0.0000], [0.5000, 0.5000, 0.5000], [0.0000, 0.5000, 0.5000], [0.5000, 0.0000, 0.5000], [0.5000, 0.5000, 0.0000]],
  "dft_energy_ev_per_cell": -24.6,
  "magnetic_moment_mub_per_fu": 1.20,
  "raw_formation_energy_mev_per_atom": 1576
}


{
  "formula": "Tb8Nd2Tc",
  "functional": "GGA-PBE",
  "state": "optimized geometry",
  "cell": [[9.1832, -2.7616, 0.0000], [9.1832, 2.7616, 0.0000], [-0.3123, 0.0000, 6.6811]],
  "species": ["Tb", "Tb", "Tb", "Tb", "Tb", "Tb", "Tb", "Tb", "Nd", "Nd", "Tc"],
  "frac_coords": [[0.0334, 0.0334, 0.2649], [0.1602, 0.1602, 0.6656], [0.3574, 0.3574, 0.6196], [0.4205, 0.4205, 0.1242], [0.5795, 0.5795, 0.8758], [0.6426, 0.6426, 0.3804], [0.8398, 0.8398, 0.3344], [0.9666, 0.9666, 0.7351], [0.2281, 0.2281, 0.1671], [0.7719, 0.7719, 0.8329], [0.5000, 0.5000, 0.5000]],
  "dft_energy_ev_per_cell": -56.6,
  "magnetic_moment_mub_per_fu": 0.00,
  "delta_e_f_ev_per_atom": 0.031
}